Computed, not measured: CsNpZn2F8 after structural relaxation at the PBE level of DFT.

## Properties
The energy relative to the elements, uncorrected comes out at -2.70 eV/atom.

Lattice parameters (Å, degrees): 5.6800 5.6800 24.5657 90.00 90.00 120.00
Space group R-3 (No. 148, hexagonal axes)
Unique sites:
Cs (0.0000, 0.0000, 0.0000) x3
Np (0.0000, 0.0000, 0.5000) x3
Zn (0.0000, 0.0000, 0.2541) x6
F (0.0000, 0.0000, 0.3297) x6
F (0.0103, 0.6493, 0.8878) x18